(1)
Material: Nd12In6Sn
Method: DFT, PBE
State: relaxed

a = 9.027 Å, b = 9.027 Å, c = 9.027 Å
α = 107.41°, β = 107.41°, γ = 107.41°
Element x y z (fractional)
1 In 0.663 0.358 0.258
2 In 0.358 0.258 0.663
3 In 0.258 0.663 0.358
4 In 0.742 0.337 0.642
5 In 0.337 0.642 0.742
6 In 0.642 0.742 0.337
7 Sn 0.000 0.000 0.000
8 Nd 0.963 0.118 0.652
9 Nd 0.938 0.690 0.610
10 Nd 0.652 0.963 0.118
11 Nd 0.037 0.882 0.348
12 Nd 0.390 0.062 0.310
13 Nd 0.348 0.037 0.882
14 Nd 0.690 0.610 0.938
15 Nd 0.118 0.652 0.963
16 Nd 0.310 0.390 0.062
17 Nd 0.062 0.310 0.390
18 Nd 0.882 0.348 0.037
19 Nd 0.610 0.938 0.690

Properties
The formation energy is -3.8 eV per formula unit. The density of states at the Fermi level is 20.07 states/eV/cell. Its raw total energy is -81.445 eV/cell.

(2)
Material: SmYMn
Method: DFT, PBE
State: relaxed

a = 3.532 Å, b = 3.532 Å, c = 6.914 Å
α = 104.80°, β = 104.80°, γ = 90.00°
Last column: magnetic moment on the atom in μB.
Element x y z (fractional)
1 Y 0.303 0.303 0.605  -0.19
2 Sm 0.029 0.029 0.059  -0.20
3 Mn 0.668 0.668 0.336  3.26

Properties
The formation energy is 0.5 eV per formula unit. The density of states at the Fermi level is 4.49 states/eV/cell. Its raw total energy is -19.809 eV/cell.

(3)
Material: Pm3Nd2Tl2
Method: DFT, PBE
State: relaxed

a = 5.567 Å, b = 5.564 Å, c = 8.882 Å
α = 108.29°, β = 90.00°, γ = 120.02°
Element x y z (fractional)
1 Tl 0.783 0.566 0.850
2 Tl 0.217 0.434 0.150
3 Nd 0.923 0.846 0.268
4 Nd 0.077 0.154 0.732
5 Pm 0.346 0.691 0.537
6 Pm 0.654 0.309 0.463
7 Pm 0.500 0.000 0.000

Properties
The formation energy is -1.5 eV per formula unit. The value obtained for the offset from the most stable computed form is 0.00 kJ per mole of atoms. The density of states at the Fermi level is 5.68 states/eV/cell. Its raw total energy is -29.975 eV/cell.

(4)
Material: HgPdF2
Method: DFT, PBE
State: relaxed

a = 8.351 Å, b = 8.351 Å, c = 8.351 Å
α = 23.49°, β = 23.49°, γ = 23.49°
Last column: magnetic moment on the atom in μB.
Element x y z (fractional)
1 F 0.122 0.122 0.122  0.21
2 F 0.878 0.878 0.878  0.21
3 Pd 0.500 0.500 0.500  1.38
4 Hg 0.000 0.000 0.000  0.04

Properties
The value obtained for the offset from the most stable computed form is 4.38 kJ per mole of atoms. The density of states at the Fermi level is 2.09 states/eV/cell. Its raw total energy is -12.345 eV/cell.